DFT (GGA-PBE) results for an optimized crystal structure of CaPtSe.

Calculated values
Formation energy (no corrections), eV per atom: -0.65

Unit cell a=4.7966 b=4.7966 c=6.0553 alpha=90.00 beta=90.00 gamma=90.00
With the nearest neighbours (Å) after each atom.
Space group P4/nmm (No. 129, origin choice 2)
One atom of each set of equivalent atoms:
1 Ca 0.2500 0.2500 0.1627 (multiplicity 2)  2 Pt 2.91-3.15, 4 Se 3.15
2 Pt 0.2500 0.2500 0.6826 (multiplicity 2)  4 Se 2.64, 1 Ca 2.91
3 Se 0.2500 0.7500 0.5000 (multiplicity 2)  4 Pt 2.64